No. 1
The following is a PBE calculation of an optimized crystal structure of Sm6Te3Rh2Pb, from Alexandria.

abc: 4.248 9.014 9.919
angles: 106.53 102.36 90.00
Sites, in units of the cell vectors:
Sm  0.671  0.117  0.342
Rh  0.831  0.665  0.662
Rh  0.169  0.335  0.338
Sm  0.014  0.259  0.027
Sm  0.679  0.563  0.358
Sm  0.321  0.437  0.642
Te  0.161  0.834  0.321
Sm  0.986  0.741  0.973
Te  0.500  0.500  0.000
Sm  0.329  0.883  0.658
Te  0.839  0.166  0.679
Pb  0.500  0.000  0.000

spin magnetization: 0.00 μB/cell
theoretical density: 7.945 g cm⁻³
final energy: -5.6693 eV/atom
D(E_F): 6.0 states/eV/cell
E_form (uncorrected): -0.99 eV/atom



No. 2
The following is a PBE calculation of an optimized crystal structure of SmTmRhPb, from Alexandria.

abc: 5.169 5.169 5.169
angles: 60.00 60.00 60.00
Sites, in units of the cell vectors:
Sm  0.750  0.750  0.750
Pb  0.500  0.500  0.500
Rh  0.000  0.000  0.000
Tm  0.250  0.250  0.250

spin magnetization: 0.00 μB/cell
theoretical density: 10.704 g cm⁻³
final energy: -5.5548 eV/atom
D(E_F): 3.3 states/eV/cell
formation energy: -492.2 meV/atom



No. 3
The following is a PBE calculation of an optimized crystal structure of Sm2Zn2Rh5Pb, from Alexandria.

abc: 3.756 9.771 9.771
angles: 90.00 90.00 90.00
Sites, in units of the cell vectors:
Zn  0.000  0.121  0.621
Rh  0.500  0.789  0.931
Rh  0.500  0.069  0.789
Rh  0.500  0.431  0.289
Zn  0.000  0.621  0.879
Sm  0.000  0.175  0.325
Pb  0.000  0.000  0.000
Rh  0.500  0.931  0.211
Rh  0.500  0.711  0.431
Zn  0.000  0.379  0.121
Sm  0.000  0.675  0.175
Zn  0.000  0.879  0.379
Rh  0.500  0.569  0.711
Sm  0.000  0.325  0.825
Sm  0.000  0.825  0.675
Pb  0.000  0.500  0.500
Rh  0.500  0.000  0.500
Rh  0.500  0.500  0.000
Rh  0.500  0.289  0.569
Rh  0.500  0.211  0.069

spin magnetization: 0.00 μB/cell
theoretical density: 10.681 g cm⁻³
final energy: -5.7854 eV/atom
D(E_F): 11.3 states/eV/cell
formation energy: -540.2 meV/atom